a) Entry from Alexandria: a relaxed BePRuS2 crystal (PBE-GGA). Values from VASP.

Summary:
- total magnetization (μB per formula unit) = 0.0
- symmetry = P4/mmm, No. 123

Geometry as Quantum ESPRESSO input:
```
&SYSTEM
  ibrav = 0, nat = 5, ntyp = 4
/
ATOMIC_SPECIES
S 32.06 S.upf
P 30.97 P.upf
Ru 101.07 Ru.upf
Be 9.01 Be.upf
ATOMIC_POSITIONS angstrom
S -1.2254 -2.0022 0.3182
S -1.2404 1.0345 1.7328
P 1.4836 -0.6752 1.4652
Ru 0.0000 0.0000 0.0000
Be -0.9822 -1.6428 3.5161
CELL_PARAMETERS angstrom
-2.4808 2.0691 3.4655
-2.4507 -4.0043 0.6363
2.9673 -1.3504 2.9304
```

***

b) Entry from Alexandria: a relaxed BePRuS2 crystal (PBE-GGA). Values from VASP.

Summary:
- total magnetization (μB per formula unit) = 0.0
- symmetry = P4/mmm, No. 123

Geometry as Quantum ESPRESSO input:
```
&SYSTEM
  ibrav = 0, nat = 5, ntyp = 4
/
ATOMIC_SPECIES
P 30.97 P.upf
Be 9.01 Be.upf
S 32.06 S.upf
Ru 101.07 Ru.upf
ATOMIC_POSITIONS angstrom
P -1.0747 0.6128 1.5908
Be 0.0000 0.0000 0.0000
S -1.7829 -0.6449 -0.9560
S 0.2184 -1.9172 0.8861
Ru -2.6392 -1.9493 1.5209
CELL_PARAMETERS angstrom
-3.5658 -1.2898 -1.9119
0.4368 -3.8344 1.7722
-2.1493 1.2257 3.1816
```

***

It turns out b) is the most stable, with the second structure 14.0 kJ/mol of atoms higher.